(1)
## RbHfSbTe2 (PBE-GGA)

Data for crystalline RbHfSbTe2 at its relaxed geometry.

```
5
Lattice="-0.586 3.806 4.181 -5.404 0.860 -1.539 -1.641 -4.080 3.484" Properties=species:S:1:pos:R:3 pbc="T T T"
Sb -0.821 -2.040 1.742
Te -2.702 0.430 -0.770
Te -0.293 1.903 2.091
Hf 0.000 0.000 0.000
Rb -3.816 0.293 3.063
```

Calculated values
formation energy without anion corrections = -47 kJ per mole of atoms


(2)
## RbHfSbTe2 (PBE-GGA)

Data for crystalline RbHfSbTe2 at its relaxed geometry.

```
5
Lattice="5.909 0.000 0.000 0.000 5.909 0.000 0.000 0.000 5.711" Properties=species:S:1:pos:R:3 pbc="T T T"
Sb 0.000 0.000 2.856
Te 0.000 2.954 0.000
Te 2.954 0.000 0.000
Hf 2.954 2.954 2.856
Rb 0.000 0.000 0.000
```

Calculated values
formation energy without anion corrections = 149 kJ per mole of atoms


(3)
## RbHfZnSb3 (PBE-GGA)

Data for crystalline RbHfZnSb3 at its relaxed geometry.

```
12
Lattice="4.007 0.000 0.000 0.000 10.298 -0.692 0.000 -5.557 9.659" Properties=species:S:1:pos:R:3 pbc="T T T"
Rb 1.002 0.939 2.258
Rb 3.005 3.803 6.709
Hf 1.002 6.045 0.994
Hf 3.005 -1.304 7.973
Zn 1.002 -2.356 5.697
Zn 3.005 7.097 3.270
Sb 3.005 8.167 0.803
Sb 1.002 -3.426 8.164
Sb 1.002 5.343 3.879
Sb 3.005 -0.601 5.088
Sb 3.005 3.879 1.211
Sb 1.002 0.862 7.756
```

Calculated values
formation energy without anion corrections = -27 kJ per mole of atoms


(4)
## RbHfSc2 (PBE-GGA)

Data for crystalline RbHfSc2 at its relaxed geometry.

```
4
Lattice="0.000 3.835 3.835 3.835 0.000 3.835 3.835 3.835 0.000" Properties=species:S:1:pos:R:3 pbc="T T T"
Sc 1.918 1.918 1.918
Sc 5.753 5.753 5.753
Hf 3.835 3.835 3.835
Rb 0.000 0.000 0.000
```

Calculated values
E_form = 0.956 eV/atom